[1]
First-principles (GGA-PBE) data for La2GaAu after structural relaxation, as listed in OQMD via LeMat-Bulk. Values from VASP.

Electronic total energy ... -4.712 eV/atom

```
&SYSTEM
  ibrav = 0, nat = 4, ntyp = 3
/
ATOMIC_SPECIES
La 138.91 La.upf
Au 196.97 Au.upf
Ga 69.72 Ga.upf
ATOMIC_POSITIONS crystal
La 0.0000 0.1417 0.1417
La 0.5000 0.8586 0.8586
Au 0.5000 0.5764 0.5764
Ga 0.0000 0.4233 0.4233
CELL_PARAMETERS angstrom
-0.9128 -0.3243 -4.6243
-5.7607 -1.8655 1.2679
-5.7136 2.1622 0.9762
```



[2]
First-principles (GGA-PBE) data for LaGa3Au after structural relaxation, as listed in OQMD via LeMat-Bulk. Values from VASP.

Electronic total energy ... -4.115 eV/atom

```
&SYSTEM
  ibrav = 0, nat = 5, ntyp = 3
/
ATOMIC_SPECIES
La 138.91 La.upf
Ga 69.72 Ga.upf
Au 196.97 Au.upf
ATOMIC_POSITIONS crystal
La 0.8790 0.8790 0.0709
Ga 0.2830 0.2830 0.8782
Ga 0.1425 0.6430 0.5975
Ga 0.6430 0.1425 0.5975
Au 0.5163 0.5163 0.3448
CELL_PARAMETERS angstrom
3.1162 -3.1187 0.0000
3.1162 3.1187 0.0000
-3.1126 0.0000 5.3963
```



[3]
First-principles (GGA-PBE) data for LaGaAu2 after structural relaxation, as listed in OQMD via LeMat-Bulk. Values from VASP.

Electronic total energy ... -4.138 eV/atom

```
&SYSTEM
  ibrav = 0, nat = 4, ntyp = 3
/
ATOMIC_SPECIES
La 138.91 La.upf
Au 196.97 Au.upf
Ga 69.72 Ga.upf
ATOMIC_POSITIONS crystal
La 0.0000 0.0000 0.5000
Au 0.5000 0.5000 0.2215
Au 0.5000 0.5000 0.7785
Ga 0.0000 0.0000 0.0000
CELL_PARAMETERS angstrom
3.6860 0.0000 0.0000
0.0000 3.6860 0.0000
0.0000 0.0000 6.7156
```



[4]
First-principles (GGA-PBE) data for LaGaAu after structural relaxation, as listed in OQMD via LeMat-Bulk. Values from VASP.

Electronic total energy ... -3.967 eV/atom

```
&SYSTEM
  ibrav = 0, nat = 3, ntyp = 3
/
ATOMIC_SPECIES
Ga 69.72 Ga.upf
La 138.91 La.upf
Au 196.97 Au.upf
ATOMIC_POSITIONS crystal
Ga 0.7500 0.7500 0.7500
La 0.0000 0.0000 0.0000
Au 0.2500 0.2500 0.2500
CELL_PARAMETERS angstrom
4.3842 1.0061 2.1519
0.6921 4.3527 2.3322
0.3648 0.1346 4.9712
```



[5]
First-principles (GGA-PBE) data for LaGaAu2 after structural relaxation, as listed in OQMD via LeMat-Bulk. Values from VASP.

Electronic total energy ... -4.146 eV/atom

```
&SYSTEM
  ibrav = 0, nat = 4, ntyp = 3
/
ATOMIC_SPECIES
La 138.91 La.upf
Au 196.97 Au.upf
Ga 69.72 Ga.upf
ATOMIC_POSITIONS crystal
La 0.5000 0.5000 0.0000
Au 0.0000 0.5000 0.5000
Au 0.5000 0.0000 0.5000
Ga 0.0000 0.0000 0.0000
CELL_PARAMETERS angstrom
-0.1645 4.5895 1.1268
-4.0876 0.4276 -2.3386
-2.0649 -0.9188 3.4412
```



[6]
First-principles (GGA-PBE) data for LaGa3Au4 after structural relaxation, as listed in OQMD via LeMat-Bulk. Values from VASP.

Electronic total energy ... -3.780 eV/atom

```
&SYSTEM
  ibrav = 0, nat = 8, ntyp = 3
/
ATOMIC_SPECIES
Au 196.97 Au.upf
La 138.91 La.upf
Ga 69.72 Ga.upf
ATOMIC_POSITIONS crystal
Au 0.1642 0.0000 0.9979
Au 0.3166 0.0000 0.5725
Au 0.8401 0.5000 0.9028
Au 0.6665 0.5000 0.4925
La 0.6593 0.0000 0.1972
Ga 0.8477 0.0000 0.6690
Ga 0.3586 0.5000 0.8440
Ga 0.1470 0.5000 0.3242
CELL_PARAMETERS angstrom
5.3926 0.0000 0.0000
0.0000 4.4608 0.0000
-0.1721 0.0000 7.0142
```



[7]
First-principles (GGA-PBE) data for La2GaAu3 after structural relaxation, as listed in OQMD via LeMat-Bulk. Values from VASP.

Electronic total energy ... -4.608 eV/atom

```
&SYSTEM
  ibrav = 0, nat = 6, ntyp = 3
/
ATOMIC_SPECIES
Ga 69.72 Ga.upf
Au 196.97 Au.upf
La 138.91 La.upf
ATOMIC_POSITIONS crystal
Ga 0.5000 0.0000 0.3267
Au 0.5000 0.5000 0.8410
Au 0.5000 0.5000 0.1826
Au 0.5000 0.0000 0.6483
La 0.0000 0.0000 0.9943
La 0.0000 0.5000 0.5070
CELL_PARAMETERS angstrom
3.7417 0.0000 0.0000
0.0000 4.6814 0.0000
0.0000 0.0000 8.2667
```



[8]
First-principles (GGA-PBE) data for LaGaAu2 after structural relaxation, as listed in OQMD via LeMat-Bulk. Values from VASP.

Electronic total energy ... -4.267 eV/atom

```
&SYSTEM
  ibrav = 0, nat = 8, ntyp = 3
/
ATOMIC_SPECIES
Au 196.97 Au.upf
Ga 69.72 Ga.upf
La 138.91 La.upf
ATOMIC_POSITIONS crystal
Au 0.5000 0.2478 0.6373
Au 0.5000 0.8518 0.8626
Au 0.0000 0.7522 0.1373
Au 0.0000 0.1482 0.3626
Ga 0.5000 0.8849 0.3715
Ga 0.0000 0.1151 0.8715
La 0.0000 0.5937 0.6287
La 0.5000 0.4063 0.1287
CELL_PARAMETERS angstrom
-2.0875 2.2180 3.3842
-5.5086 -0.1496 -3.2998
-1.4421 -5.4044 2.6524
```



[9]
First-principles (GGA-PBE) data for LaGaAu2 after structural relaxation, as listed in OQMD via LeMat-Bulk. Values from VASP.

Electronic total energy ... -4.329 eV/atom

```
&SYSTEM
  ibrav = 0, nat = 16, ntyp = 3
/
ATOMIC_SPECIES
Au 196.97 Au.upf
Ga 69.72 Ga.upf
La 138.91 La.upf
ATOMIC_POSITIONS crystal
Au 0.3810 0.0483 0.8182
Au 0.1190 0.0483 0.3182
Au 0.8810 0.9517 0.6818
Au 0.6190 0.9517 0.1818
Au 0.8810 0.5483 0.6818
Au 0.6190 0.5483 0.1818
Au 0.1190 0.4517 0.3182
Au 0.3810 0.4517 0.8182
Ga 0.3535 0.2500 0.1080
Ga 0.6465 0.7500 0.8920
Ga 0.1465 0.2500 0.6080
Ga 0.8535 0.7500 0.3920
La 0.1521 0.7500 0.0562
La 0.6521 0.2500 0.4438
La 0.8479 0.2500 0.9438
La 0.3479 0.7500 0.5562
CELL_PARAMETERS angstrom
-0.9941 -3.5525 -4.4044
-0.1505 -5.5648 4.5224
-8.4700 1.0769 1.0432
```



[10]
First-principles (GGA-PBE) data for La3GaAu4 after structural relaxation, as listed in OQMD via LeMat-Bulk. Values from VASP.

Electronic total energy ... -4.545 eV/atom

```
&SYSTEM
  ibrav = 0, nat = 8, ntyp = 3
/
ATOMIC_SPECIES
Au 196.97 Au.upf
Ga 69.72 Ga.upf
La 138.91 La.upf
ATOMIC_POSITIONS crystal
Au 0.3435 0.0000 0.4700
Au 0.1662 0.0000 0.9535
Au 0.6545 0.5000 0.5527
Au 0.8406 0.5000 0.0227
Ga 0.6347 0.0000 0.8214
La 0.8501 0.0000 0.3099
La 0.3625 0.5000 0.1789
La 0.1480 0.5000 0.6909
CELL_PARAMETERS angstrom
5.8073 0.0000 0.0000
0.0000 4.7678 0.0000
-0.1078 0.0000 7.4274
```



[11]
First-principles (GGA-PBE) data for LaSmGa2Au2 after structural relaxation, as listed in OQMD via LeMat-Bulk. Values from VASP.

ΔE to the lowest computed polymorph ... 0 meV/atom

```
&SYSTEM
  ibrav = 0, nat = 6, ntyp = 4
/
ATOMIC_SPECIES
Au 196.97 Au.upf
Sm 150.36 Sm.upf
Ga 69.72 Ga.upf
La 138.91 La.upf
ATOMIC_POSITIONS crystal
Au 0.3333 0.6667 0.7435
Au 0.3333 0.6667 0.2565
Sm 0.0000 0.0000 0.5000
Ga 0.6667 0.3333 0.7102
Ga 0.6667 0.3333 0.2898
La 0.0000 0.0000 0.0000
CELL_PARAMETERS angstrom
-0.4220 4.3599 -1.4501
0.1226 -3.4485 -3.0631
-7.4393 -0.5959 0.3732
```



[12]
First-principles (GGA-PBE) data for LaZrGa2Au2 after structural relaxation, as listed in OQMD via LeMat-Bulk. Values from VASP.

Electronic total energy ... -5.050 eV/atom

```
&SYSTEM
  ibrav = 0, nat = 6, ntyp = 4
/
ATOMIC_SPECIES
Ga 69.72 Ga.upf
La 138.91 La.upf
Au 196.97 Au.upf
Zr 91.22 Zr.upf
ATOMIC_POSITIONS crystal
Ga 0.0000 0.0000 0.3018
Ga 0.0000 0.0000 0.6982
La 0.6667 0.3333 0.0000
Au 0.3333 0.6667 0.7184
Au 0.3333 0.6667 0.2816
Zr 0.6667 0.3333 0.5000
CELL_PARAMETERS angstrom
-0.9497 4.3911 -0.5268
-3.3387 -3.0519 0.0005
-0.6535 0.7160 7.1469
```



[13]
First-principles (GGA-PBE) data for LiGa2Au after structural relaxation, as listed in OQMD via LeMat-Bulk. Values from VASP.

Electronic total energy ... -3.102 eV/atom

```
&SYSTEM
  ibrav = 0, nat = 4, ntyp = 3
/
ATOMIC_SPECIES
Li 6.94 Li.upf
Au 196.97 Au.upf
Ga 69.72 Ga.upf
ATOMIC_POSITIONS crystal
Li 0.5000 0.5000 0.5000
Au 0.2500 0.2500 0.2500
Ga 0.0000 0.0000 0.0000
Ga 0.7500 0.7500 0.7500
CELL_PARAMETERS angstrom
0.0000 3.2067 3.2067
3.2067 0.0000 3.2067
3.2067 3.2067 0.0000
```